(w)
VASP calculation (PBE-GGA) on SrBeCr after structural relaxation.

Computed properties:
The value obtained for the density of states at the Fermi level is 1.73 states/eV/f.u. Its mass density is 3487 kg/m³.

Cell lengths 4.1220, 4.1220, 4.8105 Å; angles 90.00, 90.00, 120.00 degrees
Closest atoms and distances in Å follow each position.
Space group P-6m2 (No. 187)
Unique sites:
Sr 0.0000 0.0000 0.0000 [1 per cell]  6 Cr 3.38, 6 Be 3.38
Be 0.3333 0.6667 0.5000 [1 per cell]  3 Cr 2.38
Cr 0.6667 0.3333 0.5000 [1 per cell]  3 Be 2.38

(x)
VASP calculation (PBE-GGA) on SrBeCr after structural relaxation.

Computed properties:
The value obtained for the density of states at the Fermi level is 2.09 states/eV/f.u. Its mass density is 4082 kg/m³.

Cell lengths 3.3075, 3.3075, 11.0542 Å; angles 90.00, 90.00, 90.00 degrees
Closest atoms and distances in Å follow each position.
Space group I4mm (No. 107)
Unique sites:
Sr 0.0000 0.0000 0.0000 [2 per cell]  5 Cr 3.05-3.41, 5 Be 3.16-3.33, 4 Sr 3.31
Be 0.0000 0.0000 0.2854 [2 per cell]  4 Cr 2.43
Cr 0.0000 0.0000 0.7244 [2 per cell]  4 Be 2.43

(y)
VASP calculation (PBE-GGA) on SrBeCr after structural relaxation.

Computed properties:
The value obtained for the density of states at the Fermi level is 2.66 states/eV/f.u. Its mass density is 3300 kg/m³.

Cell lengths 6.6881, 6.6881, 6.6881 Å; angles 90.00, 90.00, 90.00 degrees
Closest atoms and distances in Å follow each position.
Space group F-43m (No. 216)
Unique sites:
Sr 0.0000 0.0000 0.0000 [4 per cell]  4 Be 2.90
Be 0.2500 0.2500 0.7500 [4 per cell]  4 Cr 2.90, 4 Sr 2.90
Cr 0.0000 0.0000 0.5000 [4 per cell]  4 Be 2.90

What should be chosen as the most stable of them? Choose (x).

(w)
VASP calculation (PBE-GGA) on SrBe3Cr after structural relaxation.

Computed properties:
The value obtained for the density of states at the Fermi level is 4.72 states/eV/f.u. Its mass density is 3052 kg/m³.

Cell lengths 4.4928, 4.4928, 4.4928 Å; angles 90.00, 90.00, 90.00 degrees
Closest atoms and distances in Å follow each position.
Space group Pm-3m (No. 221)
Unique sites:
Sr 0.0000 0.0000 0.0000 [1 per cell]  12 Be 3.18
Be 0.0000 0.5000 0.5000 [3 per cell]  2 Cr 2.25
Cr 0.5000 0.5000 0.5000 [1 per cell]  6 Be 2.25

(x)
VASP calculation (PBE-GGA) on SrBe3Cr after structural relaxation.

Computed properties:
The value obtained for the density of states at the Fermi level is 3.86 states/eV/f.u. Its mass density is 1997 kg/m³.

Cell lengths 5.1745, 5.1745, 5.1745 Å; angles 90.00, 90.00, 90.00 degrees
Closest atoms and distances in Å follow each position.
Space group Pm-3m (No. 221)
Unique sites:
Sr 0.0000 0.0000 0.0000 [1 per cell]  6 Be 2.59
Be 0.0000 0.0000 0.5000 [3 per cell]  2 Sr 2.59
Cr 0.5000 0.5000 0.5000 [1 per cell]  12 Be 3.66

What should be chosen as the most stable of them? Choose (w).

(w)
VASP calculation (PBE-GGA) on Ta2Be2Cr after structural relaxation.

Computed properties:
The value obtained for the density of states at the Fermi level is 2.91 states/eV/f.u. Its mass density is 10107 kg/m³.

Cell lengths 3.6859, 3.6859, 10.4465 Å; angles 90.00, 90.00, 90.00 degrees
Closest atoms and distances in Å follow each position.
Space group I4/mmm (No. 139)
Unique sites:
Ta 0.0000 0.5000 0.2500 [4 per cell]  4 Be 2.49, 4 Ta 2.61
Be 0.0000 0.0000 0.0899 [4 per cell]  1 Be 1.88
Cr 0.0000 0.0000 0.5000 [2 per cell]  8 Be 2.77

(x)
VASP calculation (PBE-GGA) on Ta2Be2Cr after structural relaxation.

Computed properties:
The value obtained for the density of states at the Fermi level is 3.22 states/eV/f.u. Its mass density is 11206 kg/m³.

Cell lengths 6.2283, 6.2283, 3.2999 Å; angles 90.00, 90.00, 90.00 degrees
Closest atoms and distances in Å follow each position.
Space group P4/mbm (No. 127)
Unique sites:
Ta 0.1805 0.3195 0.0000 [4 per cell]  6 Be 2.42-2.52
Be 0.1177 0.6177 0.5000 [4 per cell]  1 Be 2.07
Cr 0.0000 0.0000 0.5000 [2 per cell]  4 Be 2.49

What should be chosen as the most stable of them? Choose (x).

(w)
VASP calculation (PBE-GGA) on TaBeCr3 after structural relaxation.

Computed properties:
The value obtained for the density of states at the Fermi level is 7.27 states/eV/f.u. Its mass density is 8895 kg/m³.

Cell lengths 4.0122, 4.0122, 4.0122 Å; angles 90.00, 90.00, 90.00 degrees
Closest atoms and distances in Å follow each position.
Space group Pm-3m (No. 221)
Unique sites:
Ta 0.0000 0.0000 0.0000 [1 per cell]  12 Cr 2.84
Be 0.5000 0.5000 0.5000 [1 per cell]  6 Cr 2.01
Cr 0.0000 0.5000 0.5000 [3 per cell]  2 Be 2.01

(x)
VASP calculation (PBE-GGA) on TaBeCr3 after structural relaxation.

Computed properties:
The value obtained for the density of states at the Fermi level is 9.08 states/eV/f.u. Its mass density is 6419 kg/m³.

Cell lengths 4.4731, 4.4731, 4.4731 Å; angles 90.00, 90.00, 90.00 degrees
Closest atoms and distances in Å follow each position.
Space group Pm-3m (No. 221)
Unique sites:
Ta 0.0000 0.0000 0.0000 [1 per cell]  6 Cr 2.24
Be 0.5000 0.5000 0.5000 [1 per cell]  12 Cr 3.16
Cr 0.0000 0.0000 0.5000 [3 per cell]  2 Ta 2.24

What should be chosen as the most stable of them? Choose (w).

(w)
VASP calculation (PBE-GGA) on TaBe3Cr after structural relaxation.

Computed properties:
The value obtained for the density of states at the Fermi level is 2.34 states/eV/f.u. Its mass density is 7239 kg/m³.

Cell lengths 3.9070, 3.9070, 3.9070 Å; angles 90.00, 90.00, 90.00 degrees
Closest atoms and distances in Å follow each position.
Space group Pm-3m (No. 221)
Unique sites:
Ta 0.0000 0.0000 0.0000 [1 per cell]  12 Be 2.76
Be 0.0000 0.5000 0.5000 [3 per cell]  2 Cr 1.95
Cr 0.5000 0.5000 0.5000 [1 per cell]  6 Be 1.95

(x)
VASP calculation (PBE-GGA) on TaBe3Cr after structural relaxation.

Computed properties:
The value obtained for the density of states at the Fermi level is 10.63 states/eV/f.u. Its mass density is 5491 kg/m³.

Cell lengths 4.2841, 4.2841, 4.2841 Å; angles 90.00, 90.00, 90.00 degrees
Closest atoms and distances in Å follow each position.
Space group Pm-3m (No. 221)
Unique sites:
Ta 0.0000 0.0000 0.0000 [1 per cell]  6 Be 2.14
Be 0.0000 0.0000 0.5000 [3 per cell]  2 Ta 2.14
Cr 0.5000 0.5000 0.5000 [1 per cell]  12 Be 3.03

What should be chosen as the most stable of them? Choose (w).

(w)
VASP calculation (PBE-GGA) on Be3CrTe after structural relaxation.

Computed properties:
The value obtained for the density of states at the Fermi level is 7.03 states/eV/f.u. Its mass density is 3675 kg/m³.

Cell lengths 4.5367, 4.5367, 4.5367 Å; angles 90.00, 90.00, 90.00 degrees
Closest atoms and distances in Å follow each position.
Space group Pm-3m (No. 221)
Unique sites:
Be 0.0000 0.0000 0.5000 [3 per cell]  2 Te 2.27
Cr 0.5000 0.5000 0.5000 [1 per cell]  12 Be 3.21
Te 0.0000 0.0000 0.0000 [1 per cell]  6 Be 2.27

(x)
VASP calculation (PBE-GGA) on Be3CrTe after structural relaxation.

Computed properties:
The value obtained for the density of states at the Fermi level is 3.71 states/eV/f.u. Its mass density is 4565 kg/m³.

Cell lengths 4.2203, 4.2203, 4.2203 Å; angles 90.00, 90.00, 90.00 degrees
Closest atoms and distances in Å follow each position.
Space group Pm-3m (No. 221)
Unique sites:
Be 0.0000 0.0000 0.5000 [3 per cell]  2 Cr 2.11
Cr 0.0000 0.0000 0.0000 [1 per cell]  6 Be 2.11
Te 0.5000 0.5000 0.5000 [1 per cell]  12 Be 2.98

What should be chosen as the most stable of them? Choose (x).